[1]
Material: TlZnTc
Method: DFT, SCAN
State: single point on PBEsol structure

Calculated values
ΔE_f in eV per atom: 0.839
Density of states at the Fermi level in states/eV/f.u.: 2.55

Cell: 4.249 4.249 4.249 Å, 60.00 60.00 60.00°
Atoms (fractional coordinates):
Tl 0.000 0.000 0.000
Zn 0.750 0.750 0.750
Tc 0.500 0.500 0.500


[2]
Material: PmH
Method: DFT, SCAN
State: single point on PBEsol structure

Calculated values
VASP energy in eV/atom: -24.21
Density of states at the Fermi level in states/eV/f.u.: 0.45

Cell: 3.779 3.779 5.851 Å, 90.00 90.00 120.00°
Atoms (fractional coordinates):
Pm 0.333 0.667 0.000
Pm 0.667 0.333 0.500
H 0.333 0.667 0.397
H 0.667 0.333 0.897


[3]
Material: Na7Cr4P9O32
Method: DFT, SCAN
State: single point on PBEsol structure

Calculated values
Density of states at the Fermi level in states/eV/f.u.: 0.00
Formation energy (no corrections) in eV/atom: -2.54

Cell: 6.312 14.034 14.035 Å, 90.00 90.42 90.00°
Atoms (fractional coordinates):
Na 0.075 0.000 0.272
Na 0.142 0.720 0.846
Na 0.147 0.235 0.656
Na 0.250 0.976 0.750
Na 0.353 0.882 0.492
Na 0.357 0.072 0.007
Na 0.425 0.456 0.772
Na 0.575 0.956 0.228
Na 0.643 0.572 0.993
Na 0.647 0.382 0.508
Na 0.750 0.476 0.250
Na 0.853 0.735 0.344
Na 0.858 0.220 0.154
Na 0.925 0.500 0.728
Cr 0.119 0.667 0.130
Cr 0.125 0.285 0.370
Cr 0.378 0.357 0.059
Cr 0.378 0.597 0.441
Cr 0.622 0.097 0.559
Cr 0.622 0.857 0.941
Cr 0.875 0.785 0.630
Cr 0.881 0.167 0.870
P 0.105 0.092 0.502
P 0.108 0.861 0.999
P 0.143 0.532 0.950
P 0.156 0.421 0.548
P 0.250 0.477 0.249
P 0.345 0.776 0.305
P 0.357 0.177 0.194
P 0.390 0.728 0.634
P 0.397 0.225 0.865
P 0.603 0.725 0.135
P 0.610 0.228 0.366
P 0.643 0.677 0.806
P 0.655 0.276 0.695
P 0.750 0.977 0.751
P 0.844 0.921 0.452
P 0.857 0.032 0.050
P 0.892 0.361 0.001
P 0.895 0.592 0.498
O 0.060 0.985 0.464
O 0.069 0.968 0.036
O 0.073 0.618 0.430
O 0.074 0.335 0.069
O 0.078 0.627 0.996
O 0.090 0.325 0.503
O 0.098 0.538 0.187
O 0.102 0.413 0.311
O 0.123 0.150 0.411
O 0.126 0.800 0.088
O 0.164 0.722 0.257
O 0.171 0.227 0.243
O 0.171 0.546 0.844
O 0.188 0.409 0.654
O 0.189 0.788 0.642
O 0.195 0.166 0.855
O 0.308 0.083 0.561
O 0.308 0.870 0.939
O 0.312 0.881 0.317
O 0.329 0.071 0.181
O 0.329 0.484 0.000
O 0.336 0.470 0.495
O 0.373 0.639 0.574
O 0.378 0.315 0.924
O 0.399 0.539 0.312
O 0.401 0.415 0.187
O 0.414 0.731 0.401
O 0.417 0.224 0.099
O 0.424 0.657 0.108
O 0.429 0.296 0.391
O 0.430 0.692 0.742
O 0.441 0.265 0.759
O 0.559 0.765 0.241
O 0.570 0.192 0.258
O 0.571 0.796 0.609
O 0.576 0.157 0.892
O 0.583 0.724 0.901
O 0.586 0.231 0.599
O 0.599 0.915 0.813
O 0.601 0.039 0.688
O 0.622 0.815 0.076
O 0.627 0.139 0.426
O 0.664 0.970 0.505
O 0.671 0.571 0.819
O 0.671 0.984 0.000
O 0.688 0.381 0.683
O 0.692 0.370 0.061
O 0.692 0.583 0.439
O 0.805 0.666 0.145
O 0.811 0.288 0.358
O 0.812 0.909 0.346
O 0.829 0.046 0.156
O 0.829 0.727 0.757
O 0.836 0.222 0.743
O 0.874 0.300 0.912
O 0.877 0.650 0.589
O 0.898 0.913 0.689
O 0.902 0.038 0.813
O 0.910 0.825 0.497
O 0.922 0.127 0.004
O 0.926 0.835 0.931
O 0.927 0.118 0.570
O 0.931 0.468 0.964
O 0.940 0.485 0.536